1.
Below is Pm2MgAl3Ga6 after structural relaxation, with properties calculated at the GGA-PBE level.

Values from the calculation:
Formation energy ... -0.06 eV per atom
Total magnetization ... 0.0 μB/f.u.

Cell lengths 4.108, 4.108, 17.167 Å; angles 90.00, 90.00, 90.00 degrees
Fractional positions:
1 Ga 0.000 0.000 0.140
2 Ga 0.500 0.000 0.381
3 Ga 0.000 0.000 0.860
4 Ga 0.000 0.500 0.619
5 Ga 0.000 0.500 0.381
6 Ga 0.500 0.000 0.619
7 Mg 0.500 0.500 0.500
8 Al 0.000 0.000 0.000
9 Al 0.000 0.000 0.283
10 Al 0.000 0.000 0.717
11 Pm 0.500 0.500 0.214
12 Pm 0.500 0.500 0.786



2.
Below is Pm2MgAlGa6 after structural relaxation, with properties calculated at the GGA-PBE level.

Values from the calculation:
Formation energy ... -0.22 eV per atom
Total magnetization ... 0.0 μB/f.u.

Cell lengths 6.424, 6.424, 12.866 Å; angles 75.54, 75.54, 60.00 degrees
Fractional positions:
1 Pm 0.110 0.110 0.670
2 Pm 0.890 0.890 0.330
3 Pm 0.292 0.292 0.123
4 Pm 0.708 0.708 0.877
5 Ga 0.945 0.332 0.392
6 Ga 0.332 0.945 0.392
7 Ga 0.227 0.661 0.885
8 Ga 0.332 0.332 0.392
9 Ga 0.661 0.227 0.885
10 Ga 0.668 0.668 0.608
11 Ga 0.668 0.055 0.608
12 Ga 0.773 0.773 0.115
13 Ga 0.055 0.668 0.608
14 Ga 0.339 0.773 0.115
15 Ga 0.773 0.339 0.115
16 Ga 0.227 0.227 0.885
17 Al 0.500 0.500 0.500
18 Al 0.000 0.000 0.000
19 Mg 0.428 0.428 0.717
20 Mg 0.572 0.572 0.283



3.
Below is PrMgAlGa2 after structural relaxation, with properties calculated at the GGA-PBE level.

Values from the calculation:
Formation energy ... -0.46 eV per atom
Total magnetization ... 0.0 μB/f.u.

Cell lengths 4.304, 4.304, 6.488 Å; angles 109.37, 109.37, 90.00 degrees
Fractional positions:
1 Mg 0.250 0.750 0.500
2 Pr 0.000 0.000 0.000
3 Al 0.750 0.250 0.500
4 Ga 0.391 0.391 0.782
5 Ga 0.609 0.609 0.218



4.
Below is PrMgAlGa after structural relaxation, with properties calculated at the GGA-PBE level.

Values from the calculation:
Formation energy ... -0.28 eV per atom
Total magnetization ... 0.0 μB/f.u.

Cell lengths 5.042, 5.042, 5.042 Å; angles 60.00, 60.00, 60.00 degrees
Fractional positions:
1 Pr 0.000 0.000 0.000
2 Mg 0.500 0.500 0.500
3 Al 0.750 0.750 0.750
4 Ga 0.250 0.250 0.250



5.
Below is PrMg2Al2Ga after structural relaxation, with properties calculated at the GGA-PBE level.

Values from the calculation:
Formation energy ... 0.08 eV per atom
Total magnetization ... 0.0 μB/f.u.

Cell lengths 4.331, 4.331, 8.973 Å; angles 103.97, 103.97, 90.00 degrees
Fractional positions:
1 Pr 0.500 0.500 0.000
2 Al 0.140 0.140 0.280
3 Al 0.860 0.860 0.720
4 Mg 0.250 0.750 0.500
5 Mg 0.750 0.250 0.500
6 Ga 0.000 0.000 0.000



6.
Below is Pr2MgAl3Ga4 after structural relaxation, with properties calculated at the GGA-PBE level.

Values from the calculation:
Formation energy ... -0.42 eV per atom
Total magnetization ... 0.0 μB/f.u.

Cell lengths 4.378, 4.378, 10.939 Å; angles 90.00, 90.00, 90.00 degrees
Fractional positions:
1 Al 0.500 0.000 0.870
2 Al 0.000 0.000 0.500
3 Al 0.000 0.500 0.130
4 Mg 0.500 0.500 0.500
5 Pr 0.500 0.000 0.239
6 Pr 0.000 0.500 0.761
7 Ga 0.500 0.000 0.643
8 Ga 0.000 0.500 0.357
9 Ga 0.000 0.000 0.000
10 Ga 0.500 0.500 0.000



7.
Below is Mg2AlGa2Pt5 after structural relaxation, with properties calculated at the GGA-PBE level.

Values from the calculation:
Formation energy ... -0.71 eV per atom
Total magnetization ... 0.0 μB/f.u.

Cell lengths 3.693, 9.408, 9.408 Å; angles 90.00, 90.00, 90.00 degrees
Fractional positions:
1 Pt 0.500 0.305 0.575
2 Pt 0.500 0.695 0.425
3 Pt 0.500 0.925 0.195
4 Pt 0.500 0.425 0.305
5 Pt 0.500 0.805 0.925
6 Pt 0.500 0.575 0.695
7 Pt 0.500 0.500 0.000
8 Pt 0.500 0.195 0.075
9 Pt 0.500 0.075 0.805
10 Pt 0.500 0.000 0.500
11 Ga 0.000 0.871 0.371
12 Ga 0.000 0.629 0.871
13 Ga 0.000 0.129 0.629
14 Ga 0.000 0.371 0.129
15 Al 0.000 0.500 0.500
16 Al 0.000 0.000 0.000
17 Mg 0.000 0.671 0.171
18 Mg 0.000 0.829 0.671
19 Mg 0.000 0.171 0.329
20 Mg 0.000 0.329 0.829



8.
Below is Mg2Al2GaPt5 after structural relaxation, with properties calculated at the GGA-PBE level.

Values from the calculation:
Formation energy ... -0.77 eV per atom
Total magnetization ... 0.0 μB/f.u.

Cell lengths 3.653, 9.426, 9.426 Å; angles 90.00, 90.00, 90.00 degrees
Fractional positions:
1 Pt 0.500 0.000 0.500
2 Pt 0.500 0.199 0.075
3 Pt 0.500 0.075 0.801
4 Pt 0.500 0.500 0.000
5 Pt 0.500 0.575 0.699
6 Pt 0.500 0.425 0.301
7 Pt 0.500 0.301 0.575
8 Pt 0.500 0.925 0.199
9 Pt 0.500 0.801 0.925
10 Pt 0.500 0.699 0.425
11 Mg 0.000 0.671 0.171
12 Mg 0.000 0.829 0.671
13 Mg 0.000 0.171 0.329
14 Mg 0.000 0.329 0.829
15 Ga 0.000 0.000 0.000
16 Ga 0.000 0.500 0.500
17 Al 0.000 0.628 0.872
18 Al 0.000 0.128 0.628
19 Al 0.000 0.372 0.128
20 Al 0.000 0.872 0.372